[1]
Pr3Er5Tm4 | PBE | optimized geometry

Unit cell a=7.0995 b=11.2181 c=12.7957 alpha=151.27 beta=56.45 gamma=129.18
Sites, in units of the cell vectors:
Pr 0.4141 0.8314 0.6661
Pr 0.5859 0.1686 0.3339
Pr 0.0000 0.0000 0.5000
Tm 0.0816 0.1638 0.3305
Tm 0.1673 0.3336 0.1661
Tm 0.9184 0.8362 0.6695
Tm 0.8327 0.6664 0.8339
Er 0.5000 0.0000 0.5000
Er 0.7483 0.5018 0.0015
Er 0.2517 0.4982 0.9985
Er 0.6674 0.3312 0.1640
Er 0.3326 0.6688 0.8360

Computed properties:
Energy above the lowest structure with this stoichiometry in meV per atom: 0
DOS(E_F) in states/eV/f.u.: 15.68
Theoretical density in kg/m3: 8461
Formation energy from the elements in eV/atom: 0.024



[2]
SrPr3Sn2 | PBE | optimized geometry

Unit cell a=4.8523 b=10.7575 c=9.9049 alpha=123.84 beta=90.00 gamma=103.03
Sites, in units of the cell vectors:
Sn 0.5091 0.0182 0.1682
Sn 0.2380 0.4761 0.7663
Sn 0.7620 0.5239 0.2337
Sn 0.4909 0.9818 0.8318
Pr 0.3515 0.7030 0.1833
Pr 0.3058 0.6115 0.4970
Pr 0.6942 0.3885 0.5030
Pr 0.9490 0.8980 0.5820
Pr 0.6485 0.2970 0.8167
Pr 0.0510 0.1020 0.4180
Sr 0.1130 0.2260 0.0970
Sr 0.8870 0.7740 0.9030

Computed properties:
DOS(E_F) in states/eV/f.u.: 6.62
Theoretical density in kg/m3: 6009
Formation energy from the elements in eV/atom: -0.475



[3]
ZrCo2Sn | PBE | optimized geometry

Unit cell a=3.3800 b=4.3125 c=4.3125 alpha=90.00 beta=90.00 gamma=90.00
Site moments in Bohr magnetons follow the coordinates.
Sites, in units of the cell vectors:
Co 0.0000 0.0000 0.5000  0.73
Co 0.0000 0.5000 0.0000  0.73
Sn 0.5000 0.0000 0.0000  0.01
Zr 0.5000 0.5000 0.5000  -0.11

Computed properties:
DOS(E_F) in states/eV/f.u.: 2.27
Theoretical density in kg/m3: 8659
Formation energy from the elements in eV/atom: -0.241



> What is the formula in the first record?

Pr3Er5Tm4



> The lowest DOS(E_F) belongs to which entry?

ZrCo2Sn



> Look up the formation energy from the elements of the third one.

-0.241 eV/atom



> Among the records above, which one has the highest formation energy from the elements?

Pr3Er5Tm4